1.
This record from Alexandria via LeMat-Bulk describes a relaxed V5Se12I3 crystal. The functional is PBE.

```
V5Se12I3
1.0
14.083 0.000 0.000
-4.694 13.278 0.000
-4.694 -6.639 11.499
Se I V
48 12 20
direct
0.319 0.501 0.390
0.611 0.001 0.182
0.001 0.611 0.682
0.390 0.001 0.319
0.181 0.110 0.999
0.499 0.681 0.110
0.389 0.999 0.818
0.389 0.390 0.071
0.111 0.429 0.110
0.681 0.182 0.571
0.610 0.999 0.681
0.890 0.819 0.501
0.610 0.611 0.429
0.611 0.610 0.929
0.571 0.889 0.390
0.319 0.818 0.429
0.182 0.501 0.611
0.181 0.071 0.682
0.501 0.182 0.111
0.571 0.682 0.681
0.818 0.319 0.929
0.818 0.499 0.389
0.999 0.389 0.318
0.681 0.499 0.610
0.390 0.389 0.571
0.318 0.429 0.819
0.682 0.571 0.181
0.111 0.682 0.501
0.182 0.681 0.071
0.682 0.111 0.001
0.890 0.071 0.889
0.001 0.390 0.819
0.110 0.181 0.499
0.889 0.571 0.890
0.429 0.318 0.319
0.819 0.890 0.001
0.429 0.111 0.610
0.318 0.889 0.999
0.999 0.610 0.181
0.071 0.890 0.389
0.071 0.181 0.182
0.819 0.929 0.318
0.501 0.319 0.890
0.929 0.110 0.611
0.110 0.929 0.111
0.499 0.818 0.889
0.889 0.318 0.499
0.929 0.819 0.818
0.125 0.250 0.875
0.625 0.375 0.750
0.875 0.125 0.250
0.375 0.625 0.250
0.250 0.625 0.875
0.750 0.875 0.625
0.750 0.375 0.125
0.250 0.125 0.375
0.125 0.875 0.750
0.625 0.250 0.375
0.375 0.750 0.625
0.875 0.750 0.125
0.000 0.000 0.500
0.500 0.500 0.500
0.500 0.000 0.000
0.375 0.250 0.125
0.500 0.500 0.000
0.875 0.625 0.750
0.625 0.875 0.250
0.875 0.250 0.625
0.125 0.375 0.250
0.125 0.750 0.375
0.625 0.750 0.875
0.375 0.125 0.750
0.000 0.500 0.500
0.500 0.000 0.500
0.000 0.000 0.000
0.750 0.625 0.375
0.000 0.500 0.000
0.750 0.125 0.875
0.250 0.375 0.625
0.250 0.875 0.125
```

The calculation puts the total DFT energy (no corrections) at -4.79 eV per atom. For the formation energy (no corrections), the calculation gives -3.7 eV per formula unit. The spin magnetization comes out at 3.17 μB per formula unit. The space group is No. 230. The value obtained for the density of states at the Fermi level is 0.92 states/eV per atom.

2.
This record from Alexandria via LeMat-Bulk describes a relaxed NbCu3Se4 crystal. The functional is PBE.

```
NbCu3Se4
1.0
6.616 0.000 0.000
0.000 6.862 0.000
0.000 0.000 7.914
Se Cu Nb
8 6 2
direct
0.635 0.174 0.000
0.628 0.663 0.756
0.131 0.833 0.000
0.628 0.663 0.244
0.135 0.826 0.500
0.128 0.337 0.744
0.631 0.167 0.500
0.128 0.337 0.256
0.498 0.843 0.000
0.995 0.668 0.249
0.998 0.157 0.500
0.495 0.332 0.749
0.995 0.668 0.751
0.495 0.332 0.251
0.005 0.169 0.000
0.505 0.831 0.500
```

The calculation puts the total DFT energy (no corrections) at -4.89 eV per atom. For the formation energy (no corrections), the calculation gives -2.8 eV per formula unit. The spin magnetization comes out at 0.00 μB per formula unit. The space group is No. 31.

3.
This record from Alexandria via LeMat-Bulk describes a relaxed KGa2NiAg crystal. The functional is PBE.

```
KGa2NiAg
1.0
-0.931 4.375 1.103
-4.282 -0.501 -1.626
-1.622 -1.543 4.748
Ga Ni K Ag
2 1 1 1
direct
0.000 0.500 0.000
0.500 0.000 0.000
0.000 0.000 0.000
0.500 0.500 0.500
0.000 0.000 0.500
```

Its formation energy is -0.37 eV per formula unit. The calculation puts the total DFT energy (no corrections) at -3.23 eV per atom. The spin magnetization comes out at 0.00 μB per formula unit. The space group is No. 123. The value obtained for the density of states at the Fermi level is 0.34 states/eV per atom.

4.
This record from Alexandria via LeMat-Bulk describes a relaxed NaVIn2Cl6 crystal. The functional is PBE.

```
NaVIn2Cl6
1.0
-6.085 3.565 0.367
-3.745 -6.168 -2.186
-1.069 -2.837 9.836
Cl In Na V
12 4 2 2
direct
0.242 0.552 0.000
0.758 0.552 0.000
0.500 0.222 0.732
0.000 0.778 0.768
0.742 0.005 0.500
0.500 0.222 0.268
0.242 0.995 0.000
0.758 0.995 0.000
0.000 0.778 0.232
0.258 0.005 0.500
0.258 0.448 0.500
0.742 0.448 0.500
0.500 0.794 0.789
0.000 0.206 0.711
0.500 0.794 0.211
0.000 0.206 0.289
0.000 0.720 0.500
0.500 0.280 0.000
0.500 0.231 0.500
0.000 0.769 0.000
```

The calculation puts the total DFT energy (no corrections) at -3.86 eV per atom. For the formation energy (no corrections), the calculation gives -11.6 eV per formula unit. The spin magnetization comes out at 2.00 μB per formula unit. The space group is No. 59. The value obtained for the density of states at the Fermi level is 0.94 states/eV per atom.

5.
This record from Alexandria via LeMat-Bulk describes a relaxed Na2PuGeO6 crystal. The functional is PBE.

```
Na2PuGeO6
1.0
-1.954 0.604 -3.659
-4.164 -3.244 1.689
-2.588 4.422 2.112
Pu O Na Ge
1 6 2 1
direct
0.653 0.500 0.500
0.665 0.240 0.240
0.156 0.500 0.500
0.168 0.000 0.000
0.665 0.240 0.760
0.665 0.760 0.760
0.665 0.760 0.240
0.107 0.000 0.500
0.107 0.500 0.000
0.595 0.000 0.000
```

The calculation puts the total DFT energy (no corrections) at -7.09 eV per atom. For the formation energy (no corrections), the calculation gives -19.6 eV per formula unit. The spin magnetization comes out at 2.00 μB per formula unit. The space group is No. 99. The value obtained for the density of states at the Fermi level is 0.30 states/eV per atom.

6.
This record from Alexandria via LeMat-Bulk describes a relaxed Y4MgNi crystal. The functional is PBE.

```
Y4MgNi
1.0
6.070 -0.724 0.000
-2.492 8.972 0.000
-1.789 -4.124 6.285
Y Ni Mg
8 2 2
direct
0.082 0.192 0.818
0.773 0.729 0.671
0.764 0.374 0.182
0.227 0.271 0.329
0.602 0.058 0.329
0.398 0.942 0.671
0.918 0.808 0.182
0.236 0.626 0.818
0.249 0.999 0.997
0.751 0.001 0.003
0.370 0.620 0.240
0.630 0.380 0.760
```

Its formation energy is -0.72 eV per formula unit. The calculation puts the total DFT energy (no corrections) at -5.66 eV per atom. Its energy relative to the lowest polymorph listed for this composition is 85 meV/atom. The spin magnetization comes out at 0.00 μB per formula unit. The space group is No. 15. The value obtained for the density of states at the Fermi level is 1.19 states/eV per atom.

7.
This record from Alexandria via LeMat-Bulk describes a relaxed Ir3Ru crystal. The functional is PBE.

```
Ir3Ru
1.0
-0.840 -1.712 -1.957
0.443 -2.975 2.413
-5.147 0.600 1.684
Ir Ru
3 1
direct
0.000 0.000 0.497
0.000 0.000 0.003
0.500 0.500 0.750
0.500 0.500 0.250
```

Its formation energy is -0.08 eV per formula unit. The calculation puts the total DFT energy (no corrections) at -8.98 eV per atom. The spin magnetization comes out at 0.00 μB per formula unit. The space group is No. 47. The value obtained for the density of states at the Fermi level is 0.87 states/eV per atom.

8.
This record from Alexandria via LeMat-Bulk describes a relaxed PrRuC crystal. The functional is PBE.

```
PrRuC
1.0
-2.780 0.198 -2.370
-0.647 -5.897 0.267
-3.358 0.549 3.985
C Ru Pr
2 2 2
direct
0.000 0.500 0.500
0.000 0.000 0.500
0.000 0.250 0.721
0.000 0.750 0.279
0.500 0.250 0.229
0.500 0.750 0.771
```

Its formation energy is -0.07 eV per formula unit. The calculation puts the total DFT energy (no corrections) at -7.78 eV per atom. Its energy relative to the lowest polymorph listed for this composition is 36 meV/atom. The spin magnetization comes out at 0.00 μB per formula unit. The space group is No. 51. The value obtained for the density of states at the Fermi level is 0.56 states/eV per atom.

9.
This record from Alexandria via LeMat-Bulk describes a relaxed La5Dy2Y5 crystal. The functional is PBE.

```
La5Dy2Y5
1.0
5.029 0.000 1.135
2.681 10.548 -0.171
0.836 -1.350 8.009
La Y Dy
5 5 2
direct
0.996 0.254 0.755
0.004 0.746 0.245
0.334 0.748 0.585
0.666 0.252 0.415
0.000 0.000 0.000
0.333 0.000 0.335
0.669 0.746 0.916
0.000 0.500 0.500
0.667 0.000 0.665
0.331 0.254 0.084
0.332 0.500 0.835
0.668 0.500 0.165
```

Its formation energy is 0.33 eV per formula unit. The calculation puts the total DFT energy (no corrections) at -5.49 eV per atom. The spin magnetization comes out at 0.00 μB per formula unit. The space group is No. 12. The value obtained for the density of states at the Fermi level is 1.63 states/eV per atom.

10.
This record from Alexandria via LeMat-Bulk describes a relaxed NdYCuIr crystal. The functional is PBE.

```
NdYCuIr
1.0
4.968 0.000 0.000
2.484 4.302 0.000
2.484 1.434 4.056
Nd Cu Ir Y
1 1 1 1
direct
0.250 0.250 0.250
0.000 0.000 0.000
0.500 0.500 0.500
0.750 0.750 0.750
```

Its formation energy is -1.92 eV per formula unit. The calculation puts the total DFT energy (no corrections) at -6.53 eV per atom. Its energy relative to the lowest polymorph listed for this composition is 27 meV/atom. The spin magnetization comes out at 0.00 μB per formula unit. The space group is No. 216. The value obtained for the density of states at the Fermi level is 0.72 states/eV per atom.

11.
This record from Alexandria via LeMat-Bulk describes a relaxed DyU4C5 crystal. The functional is PBE.

```
DyU4C5
1.0
-1.440 0.972 -3.027
4.517 0.122 -2.109
-2.383 -8.938 0.275
C U Dy
5 4 1
direct
0.000 0.500 0.000
0.197 0.697 0.395
0.392 0.892 0.783
0.608 0.108 0.217
0.803 0.303 0.605
0.599 0.599 0.198
0.799 0.799 0.599
0.401 0.401 0.802
0.201 0.201 0.401
0.000 0.000 0.000
```

Its formation energy is -1.65 eV per formula unit. The calculation puts the total DFT energy (no corrections) at -9.75 eV per atom. The spin magnetization comes out at 0.00 μB per formula unit. The space group is No. 71. The value obtained for the density of states at the Fermi level is 1.10 states/eV per atom.

12.
This record from Alexandria via LeMat-Bulk describes a relaxed Li2CuF4 crystal. The functional is PBE.

```
Li2CuF4
1.0
-2.524 6.724 -2.329
-7.067 -2.658 -0.015
-0.597 1.559 5.150
F Li Cu
16 8 4
direct
0.071 0.740 0.429
0.929 0.740 0.929
0.760 0.571 0.429
0.429 0.760 0.571
0.571 0.760 0.071
0.071 0.260 0.929
0.740 0.071 0.071
0.260 0.929 0.071
0.240 0.571 0.929
0.260 0.071 0.571
0.571 0.240 0.571
0.740 0.929 0.571
0.929 0.260 0.429
0.240 0.429 0.429
0.760 0.429 0.929
0.429 0.240 0.071
0.680 0.680 0.750
0.320 0.320 0.750
0.320 0.680 0.250
0.820 0.820 0.250
0.180 0.180 0.250
0.680 0.320 0.250
0.820 0.180 0.750
0.180 0.820 0.750
0.000 0.500 0.444
0.500 0.000 0.056
0.500 0.000 0.556
0.000 0.500 0.944
```

The calculation puts the total DFT energy (no corrections) at -4.48 eV per atom. For the formation energy (no corrections), the calculation gives -15.9 eV per formula unit. Its energy relative to the lowest polymorph listed for this composition is 64 meV/atom. The spin magnetization comes out at 1.00 μB per formula unit. The space group is No. 130.

13.
This record from Alexandria via LeMat-Bulk describes a relaxed Sb2Te crystal. The functional is PBE.

```
Sb2Te
1.0
0.000 4.428 4.428
4.428 0.000 4.428
4.428 4.428 0.000
Te Sb
2 4
direct
0.750 0.750 0.750
0.500 0.500 0.500
0.625 0.125 0.125
0.125 0.125 0.125
0.125 0.625 0.125
0.125 0.125 0.625
```

The calculation puts the total DFT energy (no corrections) at -3.39 eV per atom. For the formation energy (no corrections), the calculation gives 1.2 eV per formula unit. Its energy relative to the lowest polymorph listed for this composition is 474 meV/atom. The spin magnetization comes out at 0.00 μB per formula unit. The space group is No. 227. The value obtained for the density of states at the Fermi level is 0.86 states/eV per atom.

14.
This record from Alexandria via LeMat-Bulk describes a relaxed Nd2ErThS4 crystal. The functional is PBE.

```
Nd2ErThS4
1.0
3.983 0.000 0.000
0.000 6.995 0.151
0.000 -2.414 6.515
S Nd Th Er
4 2 1 1
direct
0.000 0.244 0.757
0.500 0.763 0.764
0.500 0.237 0.236
0.000 0.756 0.243
0.500 0.000 0.500
0.000 0.500 0.500
0.500 0.500 0.000
0.000 0.000 0.000
```

The calculation puts the total DFT energy (no corrections) at -6.70 eV per atom. For the formation energy (no corrections), the calculation gives -15.6 eV per formula unit. The spin magnetization comes out at 0.00 μB per formula unit. The space group is No. 10. The value obtained for the density of states at the Fermi level is 0.44 states/eV per atom.

15.
This record from Alexandria via LeMat-Bulk describes a relaxed Cr3Pb crystal. The functional is PBE.

```
Cr3Pb
1.0
-1.053 5.689 -2.064
-1.899 -2.259 -5.256
-6.778 -0.317 2.585
Cr Pb
12 4
direct
0.750 0.750 0.032
0.250 0.750 0.968
0.979 0.000 0.250
0.750 0.250 0.032
0.250 0.250 0.532
0.750 0.250 0.468
0.750 0.750 0.468
0.521 0.500 0.250
0.250 0.250 0.968
0.021 0.000 0.750
0.250 0.750 0.532
0.479 0.500 0.750
0.045 0.500 0.250
0.955 0.500 0.750
0.455 0.000 0.250
0.545 0.000 0.750
```

Its formation energy is 2.24 eV per formula unit. The calculation puts the total DFT energy (no corrections) at -7.58 eV per atom. The spin magnetization comes out at 2.98 μB per formula unit. The space group is No. 74. The value obtained for the density of states at the Fermi level is 0.53 states/eV per atom.

16.
This record from Alexandria via LeMat-Bulk describes a relaxed DyPuTe2 crystal. The functional is PBE.

```
DyPuTe2
1.0
3.783 0.000 0.000
0.000 3.783 0.000
0.000 0.000 7.620
Te Dy Pu
2 1 1
direct
0.000 0.000 0.245
0.000 0.000 0.755
0.500 0.500 0.000
0.500 0.500 0.500
```

The calculation puts the total DFT energy (no corrections) at -7.37 eV per atom. For the formation energy (no corrections), the calculation gives -4.3 eV per formula unit. Its energy relative to the lowest polymorph listed for this composition is 147 meV/atom. The spin magnetization comes out at 6.45 μB per formula unit. The space group is No. 123. The value obtained for the density of states at the Fermi level is 1.80 states/eV per atom.

17.
This record from Alexandria via LeMat-Bulk describes a relaxed MgGe3P crystal. The functional is PBE.

```
MgGe3P
1.0
-1.786 -4.122 2.076
4.521 -2.010 -0.102
0.929 1.860 4.491
Ge P Mg
3 1 1
direct
0.500 0.000 0.000
0.000 0.000 0.500
0.000 0.500 0.000
0.500 0.500 0.500
0.000 0.000 0.000
```

Its formation energy is 4.95 eV per formula unit. The calculation puts the total DFT energy (no corrections) at -3.18 eV per atom. The spin magnetization comes out at 0.00 μB per formula unit. The space group is No. 221. The value obtained for the density of states at the Fermi level is 0.70 states/eV per atom.

18.
This record from Alexandria via LeMat-Bulk describes a relaxed DyTmSe3 crystal. The functional is PBE.

```
DyTmSe3
1.0
4.018 0.000 0.000
0.000 7.985 0.524
0.000 -1.254 8.039
Se Dy Tm
6 2 2
direct
0.250 0.895 0.679
0.250 0.682 0.020
0.250 0.378 0.610
0.750 0.105 0.321
0.750 0.622 0.390
0.750 0.318 0.980
0.250 0.383 0.229
0.750 0.617 0.771
0.750 0.145 0.679
0.250 0.855 0.321
```

The calculation puts the total DFT energy (no corrections) at -5.74 eV per atom. For the formation energy (no corrections), the calculation gives -9.2 eV per formula unit. Its energy relative to the lowest polymorph listed for this composition is 14 meV/atom. The spin magnetization comes out at 0.00 μB per formula unit. The space group is No. 11.

19.
This record from Alexandria via LeMat-Bulk describes a relaxed Li2MnBiS4 crystal. The functional is PBE.

```
Li2MnBiS4
1.0
3.775 0.000 0.000
0.000 6.607 0.099
0.000 -2.312 6.106
Li S Mn Bi
2 4 1 1
direct
0.000 0.500 0.500
0.500 0.000 0.500
0.500 0.290 0.246
0.500 0.710 0.754
0.000 0.274 0.760
0.000 0.726 0.240
0.500 0.500 0.000
0.000 0.000 0.000
```

The calculation puts the total DFT energy (no corrections) at -4.91 eV per atom. For the formation energy (no corrections), the calculation gives -5.9 eV per formula unit. The spin magnetization comes out at 4.00 μB per formula unit. The space group is No. 10. The value obtained for the density of states at the Fermi level is 0.28 states/eV per atom.